This record from Alexandria via LeMat-Bulk describes crystalline ErPuCl2 at its relaxed geometry. The functional is PBE.

For the size of the total moment, the calculation gives 18.0 Bohr magnetons per cell. The calculation puts the density of states at the Fermi level at 9.15 states/eV/f.u. The calculation puts the raw formation energy at -1.091 eV/atom.

The space group is R-3m (No. 166, hexagonal axes) and the conventional cell measures 3.4315, 3.4315 and 27.0695 Å, with angles of 90.00, 90.00 and 120.00 degrees. The asymmetric unit holds Er at (0.0000, 0.0000, 0.0000), Pu at (0.0000, 0.0000, 0.5000) and Cl at (0.0000, 0.0000, 0.2551).